Record 1
Entry from Alexandria via LeMat-Bulk: PrNdNiHg after structural relaxation (PBE).

Properties
For the energy relative to the elements, the calculation gives -0.26 eV per atom.

Cell: 7.4087 7.4087 7.4087 Å, 90.00 90.00 90.00°
Space group F-43m (No. 216)
Asymmetric unit:
Pr 0.0000 0.0000 0.0000 x4
Nd 0.0000 0.0000 0.5000 x4
Ni 0.2500 0.2500 0.7500 x4
Hg 0.2500 0.2500 0.2500 x4



Record 2
Entry from Alexandria via LeMat-Bulk: Re2Os5 after structural relaxation (PBE).

Properties
For the energy relative to the elements, the calculation gives 0.62 eV per atom. Its offset from the most stable computed form is 3.77 eV/f.u.

Cell: 3.2808 3.2808 19.4736 Å, 90.00 90.00 90.00°
Space group I4/mmm (No. 139)
Asymmetric unit:
Re 0.0000 0.0000 0.2133 x4
Os 0.0000 0.0000 0.0724 x4
Os 0.0000 0.0000 0.3595 x4
Os 0.0000 0.0000 0.5000 x2



Record 3
Entry from Alexandria via LeMat-Bulk: CePu2AlSi2 after structural relaxation (PBE).

Properties
Its uncorrected formation energy is 140 meV per atom.

Cell: 4.3543 4.3543 16.9256 Å, 90.00 90.00 90.00°
Space group I4/mmm (No. 139)
Asymmetric unit:
Ce 0.0000 0.0000 0.0000 x2
Pu 0.0000 0.5000 0.2500 x4
Al 0.0000 0.0000 0.5000 x2
Si 0.0000 0.0000 0.3641 x4



Record 4
Entry from Alexandria via LeMat-Bulk: ZnP4 after structural relaxation (PBE).

Properties
For the energy relative to the elements, the calculation gives 0.69 eV per atom.

Cell: 5.6230 5.6230 5.6230 Å, 90.00 90.00 90.00°
Space group Im-3m (No. 229)
Asymmetric unit:
Zn 0.0000 0.0000 0.0000 x2
P 0.2500 0.2500 0.2500 x8



Record 5
Entry from Alexandria via LeMat-Bulk: Dy3Bi5O12 after structural relaxation (PBE).

Properties
Its uncorrected formation energy is -1845 meV per atom.

Cell: 13.7805 13.7805 13.7805 Å, 90.00 90.00 90.00°
Space group Ia-3d (No. 230)
Asymmetric unit:
Dy 0.0000 0.2500 0.1250 x24
Bi 0.0000 0.0000 0.0000 x16
Bi 0.0000 0.2500 0.3750 x24
O 0.0179 0.0742 0.6547 x96



Which formula does entry 3 have? CePu2AlSi2



Please write out number 3 again, unchanged.
Entry from Alexandria via LeMat-Bulk: CePu2AlSi2 after structural relaxation (PBE).

Properties
Its uncorrected formation energy is 140 meV per atom.

Cell: 4.3543 4.3543 16.9256 Å, 90.00 90.00 90.00°
Space group I4/mmm (No. 139)
Asymmetric unit:
Ce 0.0000 0.0000 0.0000 x2
Pu 0.0000 0.5000 0.2500 x4
Al 0.0000 0.0000 0.5000 x2
Si 0.0000 0.0000 0.3641 x4